# K2NaAuF6 (PBE, optimized geometry)
# raw formation energy = -2.0800 eV per atom
# crystal system = cubic
# total magnetization = 2.0 μB/cell
# volume = 16.8 Å³/atom
# space-group type = No. 225
# total energy = -3.882 eV per atom
data_K2NaAuF6
_cell_length_a 6.1909
_cell_length_b 6.1909
_cell_length_c 6.1909
_cell_angle_alpha 60.00
_cell_angle_beta 60.00
_cell_angle_gamma 60.00
_space_group_name_H-M_alt 'P 1'
_space_group_IT_number 1
loop_
_space_group_symop_operation_xyz
'x,y,z'
loop_
_atom_site_label
_atom_site_type_symbol
_atom_site_fract_x
_atom_site_fract_y
_atom_site_fract_z
_atom_site_occupancy
F1 F 0.2445 0.7555 0.7555 1
F2 F 0.7555 0.2445 0.7555 1
F3 F 0.2445 0.7555 0.2445 1
F4 F 0.7555 0.2445 0.2445 1
F5 F 0.7555 0.7555 0.2445 1
F6 F 0.2445 0.2445 0.7555 1
Au1 Au 0.0000 0.0000 0.0000 1
K1 K 0.7500 0.7500 0.7500 1
K2 K 0.2500 0.2500 0.2500 1
Na1 Na 0.5000 0.5000 0.5000 1